# 1
Below is a PBEsol-optimized structure of KMgCr2, with properties calculated at the SCAN level.

a = 5.5059 Å, b = 5.5059 Å, c = 3.2054 Å
α = 90.00°, β = 90.00°, γ = 90.00°
Space group P4/mmm (No. 123)
One atom of each set of equivalent atoms:
K 0.0000 0.0000 0.0000
Mg 0.5000 0.5000 0.0000
Cr 0.0000 0.5000 0.5000

## Properties
The calculated total energy is -11.73 eV/atom. The value obtained for the density of states at the Fermi level is 1.51 states/eV/cell.

---

# 2
Below is a PBEsol-optimized structure of KLi2Pt, with properties calculated at the SCAN level.

a = 3.3007 Å, b = 3.3007 Å, c = 7.6669 Å
α = 90.00°, β = 90.00°, γ = 90.00°
Space group P4/mmm (No. 123)
One atom of each set of equivalent atoms:
K 0.0000 0.0000 0.0000
Li 0.5000 0.5000 0.3487
Pt 0.0000 0.0000 0.5000

## Properties
The calculated total energy is -20.97 eV/atom. The value obtained for the density of states at the Fermi level is 1.24 states/eV/cell.